# Tm3BiS2

A relaxed Tm3BiS2 crystal (GGA-PBE, Alexandria).

Calculated values
Space-group type   Imma, No. 74
M_tot   0.0 μB/cell
Formation energy (no corrections)   -1.189 eV/atom
Raw total energy   -5.447 eV/atom
Calculated density   8.1 Mg/m³

Cell: 8.1855 7.7027 7.7027 Å, 54.99 57.90 57.90°
Element x y z (fractional)
Tm: 0.0000 0.7296 0.2704
Tm: 0.5000 0.0000 0.5000
Tm: 0.0000 0.2704 0.7296
Tm: 0.5000 0.5000 0.0000
S: 0.6473 0.5640 0.5640
S: 0.7247 0.0640 0.0640
Tm: 0.5000 0.2296 0.7704
Tm: 0.5000 0.7704 0.2296
S: 0.2753 0.9360 0.9360
Bi: 0.8492 0.7500 0.7500
S: 0.3527 0.4360 0.4360
Bi: 0.1508 0.2500 0.2500



# NaLi2BeBr6

A relaxed NaLi2BeBr6 crystal (GGA-PBE, Alexandria).

Calculated values
Space-group type   C2/c, No. 15
M_tot   0.4 μB/cell
Formation energy (no corrections)   -1.133 eV/atom
Raw total energy   -3.024 eV/atom
Calculated density   2.7 Mg/m³

Cell: 6.2929 10.5277 10.5277 Å, 92.71 74.57 74.57°
Element x y z (fractional)
Br: 0.7815 0.0270 0.2032
Br: 0.7185 0.7968 0.9730
Br: 0.5630 0.1774 0.6706
Li: 0.5768 0.1864 0.4256
Br: 0.7614 0.3705 0.3624
Li: 0.0768 0.4256 0.1864
Be: 0.2500 0.1789 0.8211
Br: 0.9370 0.3294 0.8226
Br: 0.2614 0.3624 0.3705
Br: 0.7386 0.6376 0.6295
Na: 0.2500 0.9049 0.0951
Be: 0.7500 0.8211 0.1789
Br: 0.4370 0.8226 0.3294
Li: 0.9232 0.5744 0.8136
Br: 0.2815 0.2032 0.0270
Br: 0.0630 0.6706 0.1774
Br: 0.2185 0.9730 0.7968
Na: 0.7500 0.0951 0.9049
Li: 0.4232 0.8136 0.5744
Br: 0.2386 0.6295 0.6376



# La2MgTl

A relaxed La2MgTl crystal (GGA-PBE, Alexandria).

Calculated values
Space-group type   F-43m, No. 216
DFT formation energy   0.027 eV per atom
M_tot   2.2 μB/cell
Raw total energy   -3.427 eV/atom
Calculated density   7.0 Mg/m³
Distance to the lowest polymorph of the same formula   311 meV per atom

Cell: 5.5472 5.5472 5.5472 Å, 60.00 60.00 60.00°
Element x y z (fractional)
Tl: 0.7500 0.7500 0.7500
Mg: 0.5000 0.5000 0.5000
La: 0.0000 0.0000 0.0000
La: 0.2500 0.2500 0.2500



# RbCrBi

A relaxed RbCrBi crystal (GGA-PBE, Alexandria).

Calculated values
Space-group type   P4/nmm, No. 129
DFT formation energy   0.294 eV per atom
M_tot   0.0 μB/cell
Raw total energy   -4.530 eV/atom
Calculated density   6.0 Mg/m³

Cell: 3.7435 3.7435 13.7303 Å, 90.00 90.00 90.00°
Element x y z (fractional)
Cr: 0.5000 0.5000 0.5000
Rb: 0.5000 0.0000 0.1627
Cr: 0.0000 0.0000 0.5000
Bi: 0.0000 0.5000 0.3533
Rb: 0.0000 0.5000 0.8373
Bi: 0.5000 0.0000 0.6467



# TaCrAu2

A relaxed TaCrAu2 crystal (GGA-PBE, Alexandria).

Calculated values
Space-group type   R-3m, No. 166
DFT formation energy   0.269 eV per atom
M_tot   3.5 μB/cell
Raw total energy   -6.739 eV/atom
Calculated density   15.0 Mg/m³
Distance to the lowest polymorph of the same formula   185 meV per atom

Cell: 9.4062 9.4062 9.4062 Å, 18.03 18.03 18.03°
Element x y z (fractional)
Au: 0.0027 0.0027 0.0027
Au: 0.4973 0.4973 0.4973
Cr: 0.7500 0.7500 0.7500
Ta: 0.2500 0.2500 0.2500



# Tl2PbBr

A relaxed Tl2PbBr crystal (GGA-PBE, Alexandria).

Calculated values
Space-group type   P4/mmm, No. 123
M_tot   0.0 μB/cell
Formation energy (no corrections)   -0.232 eV/atom
Raw total energy   -2.760 eV/atom
Calculated density   9.1 Mg/m³
Distance to the lowest polymorph of the same formula   43 meV per atom

Cell: 3.6935 3.6935 9.2906 Å, 90.00 90.00 90.00°
Element x y z (fractional)
Tl: 0.0000 0.0000 0.4853
Br: 0.5000 0.5000 0.2500
Pb: 0.5000 0.5000 0.7500
Tl: 0.0000 0.0000 0.0147



# LaTlCl

A relaxed LaTlCl crystal (GGA-PBE, Alexandria).

Calculated values
Space-group type   F-43m, No. 216
M_tot   0.0 μB/cell
Formation energy (no corrections)   -0.251 eV/atom
Raw total energy   -3.298 eV/atom
Calculated density   6.0 Mg/m³
Distance to the lowest polymorph of the same formula   674 meV per atom

Cell: 5.2947 5.2947 5.2947 Å, 60.00 60.00 60.00°
Element x y z (fractional)
La: 0.5000 0.5000 0.5000
Tl: 0.2500 0.2500 0.2500
Cl: 0.0000 0.0000 0.0000



# Pr2AlIr

A relaxed Pr2AlIr crystal (GGA-PBE, Alexandria).

Calculated values
Space-group type   P4/mmm, No. 123
DFT formation energy   -0.418 eV per atom
M_tot   0.0 μB/cell
Raw total energy   -5.959 eV/atom
Calculated density   8.5 Mg/m³

Cell: 3.7133 3.7133 7.1303 Å, 90.00 90.00 90.00°
Element x y z (fractional)
Al: 0.5000 0.5000 0.5000
Ir: 0.5000 0.5000 0.0000
Pr: 0.0000 0.0000 0.2319
Pr: 0.0000 0.0000 0.7681